[1]
# ZrTaCd4 | the Alexandria database | GGA-PBE | relaxed
data_ZrTaCd4
_symmetry_space_group_name_H-M 'F -4 3 m'
_symmetry_Int_Tables_number 216
_symmetry_space_group_name_Hall 'F -4 2 3'
_cell_length_a 7.8887
_cell_length_b 7.8887
_cell_length_c 7.8887
_cell_angle_alpha 90.00
_cell_angle_beta 90.00
_cell_angle_gamma 90.00
loop_
_atom_site_label
_atom_site_type_symbol
_atom_site_fract_x
_atom_site_fract_y
_atom_site_fract_z
Zr1 Zr 0.0000 0.0000 0.0000
Ta1 Ta 0.2500 0.2500 0.2500
Cd1 Cd 0.1248 0.1248 0.6248
# Energy of formation from the pure elements ... 0.25 eV/atom
# Crystal system ... cubic



[2]
# K2BaCd | the Alexandria database | GGA-PBE | relaxed
data_K2BaCd
_symmetry_space_group_name_H-M 'P 4 m m'
_symmetry_Int_Tables_number 99
_symmetry_space_group_name_Hall 'P 4 -2'
_cell_length_a 4.4007
_cell_length_b 4.4007
_cell_length_c 11.0163
_cell_angle_alpha 90.00
_cell_angle_beta 90.00
_cell_angle_gamma 90.00
loop_
_atom_site_label
_atom_site_type_symbol
_atom_site_fract_x
_atom_site_fract_y
_atom_site_fract_z
K1 K 0.0000 0.0000 0.0000
K2 K 0.5000 0.5000 0.3198
Ba1 Ba 0.0000 0.0000 0.6316
Cd1 Cd 0.5000 0.5000 0.7943
# Energy of formation from the pure elements ... -0.08 eV/atom
# Crystal system ... tetragonal



[3]
# TaTl2SnS4 | the Alexandria database | GGA-PBE | relaxed
data_TaTl2SnS4
_symmetry_space_group_name_H-M 'I -4'
_symmetry_Int_Tables_number 82
_symmetry_space_group_name_Hall 'I -4'
_cell_length_a 8.0078
_cell_length_b 8.0078
_cell_length_c 7.5719
_cell_angle_alpha 90.00
_cell_angle_beta 90.00
_cell_angle_gamma 90.00
loop_
_atom_site_label
_atom_site_type_symbol
_atom_site_fract_x
_atom_site_fract_y
_atom_site_fract_z
Ta1 Ta 0.0000 0.0000 0.0000
Tl1 Tl 0.0000 0.0000 0.5000
Tl2 Tl 0.0000 0.5000 0.7500
Sn1 Sn 0.0000 0.5000 0.2500
S1 S 0.1509 0.1824 0.1701
# Formation energy from raw total energies ... -0.5384 eV per atom
# Crystal system ... tetragonal



[4]
# KSnC3 | the Alexandria database | GGA-PBE | relaxed
data_KSnC3
_symmetry_space_group_name_H-M 'P m -3 m'
_symmetry_Int_Tables_number 221
_symmetry_space_group_name_Hall '-P 4 2 3'
_cell_length_a 4.4570
_cell_length_b 4.4570
_cell_length_c 4.4570
_cell_angle_alpha 90.00
_cell_angle_beta 90.00
_cell_angle_gamma 90.00
loop_
_atom_site_label
_atom_site_type_symbol
_atom_site_fract_x
_atom_site_fract_y
_atom_site_fract_z
K1 K 0.0000 0.0000 0.0000
Sn1 Sn 0.5000 0.5000 0.5000
C1 C 0.0000 0.5000 0.5000
# Energy of formation from the pure elements ... 2.57 eV/atom
# Excess energy over the best structure of this formula in the dataset ... 0 meV per atom
# Crystal system ... cubic



[5]
# NaSb2PbO | the Alexandria database | GGA-PBE | relaxed
data_NaSb2PbO
_symmetry_space_group_name_H-M 'P 4/m m m'
_symmetry_Int_Tables_number 123
_symmetry_space_group_name_Hall '-P 4 2'
_cell_length_a 6.1021
_cell_length_b 6.1021
_cell_length_c 4.1504
_cell_angle_alpha 90.00
_cell_angle_beta 90.00
_cell_angle_gamma 90.00
loop_
_atom_site_label
_atom_site_type_symbol
_atom_site_fract_x
_atom_site_fract_y
_atom_site_fract_z
Na1 Na 0.0000 0.0000 0.0000
Sb1 Sb 0.0000 0.5000 0.5000
Pb1 Pb 0.5000 0.5000 0.5000
O1 O 0.5000 0.5000 0.0000
# Formation energy from raw total energies ... 0.1922 eV per atom
# Crystal system ... tetragonal



[6]
# AcMg5Pd3 | the Alexandria database | GGA-PBE | relaxed
data_AcMg5Pd3
_symmetry_space_group_name_H-M 'C m c m'
_symmetry_Int_Tables_number 63
_symmetry_space_group_name_Hall '-C 2c 2'
_cell_length_a 4.1747
_cell_length_b 14.2731
_cell_length_c 13.2236
_cell_angle_alpha 90.00
_cell_angle_beta 90.00
_cell_angle_gamma 90.00
loop_
_atom_site_label
_atom_site_type_symbol
_atom_site_fract_x
_atom_site_fract_y
_atom_site_fract_z
Ac1 Ac 0.0000 0.1620 0.2500
Mg1 Mg 0.0000 0.0000 0.0000
Mg2 Mg 0.0000 0.2003 0.5566
Mg3 Mg 0.0000 0.4358 0.1441
Pd1 Pd 0.0000 0.1408 0.7500
Pd2 Pd 0.0000 0.3880 0.5575
# Energy of formation from the pure elements ... -0.52 eV/atom
# Crystal system ... orthorhombic



[7]
# Sr2AlBr | the Alexandria database | GGA-PBE | relaxed
data_Sr2AlBr
_symmetry_space_group_name_H-M 'F -4 3 m'
_symmetry_Int_Tables_number 216
_symmetry_space_group_name_Hall 'F -4 2 3'
_cell_length_a 8.1918
_cell_length_b 8.1918
_cell_length_c 8.1918
_cell_angle_alpha 90.00
_cell_angle_beta 90.00
_cell_angle_gamma 90.00
loop_
_atom_site_label
_atom_site_type_symbol
_atom_site_fract_x
_atom_site_fract_y
_atom_site_fract_z
Sr1 Sr 0.0000 0.0000 0.0000
Sr2 Sr 0.2500 0.2500 0.2500
Al1 Al 0.0000 0.0000 0.5000
Br1 Br 0.2500 0.2500 0.7500
# Excess energy over the best structure of this formula in the dataset ... 753 meV per atom
# Formation energy from raw total energies ... -0.0476 eV per atom
# Crystal system ... cubic



[8]
# LiGd2Zr | the Alexandria database | GGA-PBE | relaxed
data_LiGd2Zr
_symmetry_space_group_name_H-M 'R -3 m'
_symmetry_Int_Tables_number 166
_symmetry_space_group_name_Hall '-R 3 2"'
_cell_length_a 3.3893
_cell_length_b 3.3893
_cell_length_c 33.2573
_cell_angle_alpha 90.00
_cell_angle_beta 90.00
_cell_angle_gamma 120.00
loop_
_atom_site_label
_atom_site_type_symbol
_atom_site_fract_x
_atom_site_fract_y
_atom_site_fract_z
Li1 Li 0.0000 0.0000 0.0000
Gd1 Gd 0.0000 0.0000 0.2464
Zr1 Zr 0.0000 0.0000 0.5000
# Energy of formation from the pure elements ... 0.11 eV/atom
# Excess energy over the best structure of this formula in the dataset ... 32 meV per atom
# Crystal system ... trigonal



[9]
# Na2Sc2Os | the Alexandria database | GGA-PBE | relaxed
data_Na2Sc2Os
_symmetry_space_group_name_H-M 'I 4/m m m'
_symmetry_Int_Tables_number 139
_symmetry_space_group_name_Hall '-I 4 2'
_cell_length_a 3.4494
_cell_length_b 3.4494
_cell_length_c 18.7540
_cell_angle_alpha 90.00
_cell_angle_beta 90.00
_cell_angle_gamma 90.00
loop_
_atom_site_label
_atom_site_type_symbol
_atom_site_fract_x
_atom_site_fract_y
_atom_site_fract_z
Na1 Na 0.0000 0.5000 0.2500
Sc1 Sc 0.0000 0.0000 0.0787
Os1 Os 0.0000 0.0000 0.5000
# Energy of formation from the pure elements ... 0.32 eV/atom
# Crystal system ... tetragonal



[10]
# BaGdDy2 | the Alexandria database | GGA-PBE | relaxed
data_BaGdDy2
_symmetry_space_group_name_H-M 'P 4/m m m'
_symmetry_Int_Tables_number 123
_symmetry_space_group_name_Hall '-P 4 2'
_cell_length_a 3.7136
_cell_length_b 3.7136
_cell_length_c 10.7136
_cell_angle_alpha 90.00
_cell_angle_beta 90.00
_cell_angle_gamma 90.00
loop_
_atom_site_label
_atom_site_type_symbol
_atom_site_fract_x
_atom_site_fract_y
_atom_site_fract_z
Ba1 Ba 0.0000 0.0000 0.0000
Gd1 Gd 0.0000 0.0000 0.5000
Dy1 Dy 0.5000 0.5000 0.2828
# Energy of formation from the pure elements ... 0.16 eV/atom
# Excess energy over the best structure of this formula in the dataset ... 0 meV per atom
# Crystal system ... tetragonal



[11]
# YCr2CoBr | the Alexandria database | GGA-PBE | relaxed
data_YCr2CoBr
_symmetry_space_group_name_H-M 'P 4/m m m'
_symmetry_Int_Tables_number 123
_symmetry_space_group_name_Hall '-P 4 2'
_cell_length_a 4.6931
_cell_length_b 4.6931
_cell_length_c 5.2865
_cell_angle_alpha 90.00
_cell_angle_beta 90.00
_cell_angle_gamma 90.00
loop_
_atom_site_label
_atom_site_type_symbol
_atom_site_fract_x
_atom_site_fract_y
_atom_site_fract_z
Y1 Y 0.0000 0.0000 0.0000
Cr1 Cr 0.0000 0.5000 0.0000
Co1 Co 0.5000 0.5000 0.5000
Br1 Br 0.0000 0.0000 0.5000
# Formation energy from raw total energies ... 2.3594 eV per atom
# Crystal system ... tetragonal



[12]
# TlPt2Pb | the Alexandria database | GGA-PBE | relaxed
data_TlPt2Pb
_symmetry_space_group_name_H-M 'R 3 m'
_symmetry_Int_Tables_number 160
_symmetry_space_group_name_Hall 'R 3 -2"'
_cell_length_a 3.1759
_cell_length_b 3.1759
_cell_length_c 30.2862
_cell_angle_alpha 90.00
_cell_angle_beta 90.00
_cell_angle_gamma 120.00
loop_
_atom_site_label
_atom_site_type_symbol
_atom_site_fract_x
_atom_site_fract_y
_atom_site_fract_z
Tl1 Tl 0.0000 0.0000 0.0000
Pt1 Pt 0.0000 0.0000 0.2577
Pt2 Pt 0.0000 0.0000 0.5206
Pb1 Pb 0.0000 0.0000 0.7789
# Energy of formation from the pure elements ... 0.19 eV/atom
# Crystal system ... trigonal



[13]
# TlZnFe2 | the Alexandria database | GGA-PBE | relaxed
data_TlZnFe2
_symmetry_space_group_name_H-M 'C 1 2/m 1'
_symmetry_Int_Tables_number 12
_symmetry_space_group_name_Hall '-C 2y'
_cell_length_a 8.7550
_cell_length_b 2.9743
_cell_length_c 5.0450
_cell_angle_alpha 90.00
_cell_angle_beta 101.27
_cell_angle_gamma 90.00
loop_
_atom_site_label
_atom_site_type_symbol
_atom_site_fract_x
_atom_site_fract_y
_atom_site_fract_z
Tl1 Tl 0.0000 0.0000 0.0000
Zn1 Zn 0.0000 0.5000 0.5000
Fe1 Fe 0.2459 0.0000 0.6905
# Energy of formation from the pure elements ... 0.42 eV/atom
# Excess energy over the best structure of this formula in the dataset ... 127 meV per atom
# Crystal system ... monoclinic



[14]
# Pr5YTe6 | the Alexandria database | GGA-PBE | relaxed
data_Pr5YTe6
_symmetry_space_group_name_H-M 'C 1 2/m 1'
_symmetry_Int_Tables_number 12
_symmetry_space_group_name_Hall '-C 2y'
_cell_length_a 7.8056
_cell_length_b 13.5416
_cell_length_c 7.7864
_cell_angle_alpha 90.00
_cell_angle_beta 109.52
_cell_angle_gamma 90.00
loop_
_atom_site_label
_atom_site_type_symbol
_atom_site_fract_x
_atom_site_fract_y
_atom_site_fract_z
Pr1 Pr 0.0000 0.0000 0.0000
Pr2 Pr 0.0000 0.1676 0.5000
Pr3 Pr 0.0000 0.3251 0.0000
Y1 Y 0.0000 0.5000 0.5000
Te1 Te 0.2401 0.5000 0.2502
Te2 Te 0.2426 0.3385 0.7432
# Formation energy from raw total energies ... -1.4211 eV per atom
# Crystal system ... monoclinic



[15]
# PuThSbSe | the Alexandria database | GGA-PBE | relaxed
data_PuThSbSe
_symmetry_space_group_name_H-M 'F -4 3 m'
_symmetry_Int_Tables_number 216
_symmetry_space_group_name_Hall 'F -4 2 3'
_cell_length_a 7.4853
_cell_length_b 7.4853
_cell_length_c 7.4853
_cell_angle_alpha 90.00
_cell_angle_beta 90.00
_cell_angle_gamma 90.00
loop_
_atom_site_label
_atom_site_type_symbol
_atom_site_fract_x
_atom_site_fract_y
_atom_site_fract_z
Pu1 Pu 0.0000 0.0000 0.0000
Th1 Th 0.0000 0.0000 0.5000
Sb1 Sb 0.2500 0.2500 0.2500
Se1 Se 0.2500 0.2500 0.7500
# Formation energy from raw total energies ... -0.9895 eV per atom
# Crystal system ... cubic



[16]
# Ac2BiRhO6 | the Alexandria database | GGA-PBE | relaxed
data_Ac2BiRhO6
_symmetry_space_group_name_H-M 'C 1 2/m 1'
_symmetry_Int_Tables_number 12
_symmetry_space_group_name_Hall '-C 2y'
_cell_length_a 12.0021
_cell_length_b 5.7857
_cell_length_c 5.0504
_cell_angle_alpha 90.00
_cell_angle_beta 110.66
_cell_angle_gamma 90.00
loop_
_atom_site_label
_atom_site_type_symbol
_atom_site_fract_x
_atom_site_fract_y
_atom_site_fract_z
Ac1 Ac 0.2350 0.0000 0.2087
Bi1 Bi 0.0000 0.5000 0.0000
Rh1 Rh 0.0000 0.0000 0.5000
O1 O 0.0882 0.2361 0.7832
O2 O 0.1994 0.5000 0.2821
# Formation energy from raw total energies ... -2.0265 eV per atom
# Crystal system ... monoclinic



[17]
# Mn2IrRh | the Alexandria database | GGA-PBE | relaxed
data_Mn2IrRh
_symmetry_space_group_name_H-M 'P m m 2'
_symmetry_Int_Tables_number 25
_symmetry_space_group_name_Hall 'P 2 -2'
_cell_length_a 2.7377
_cell_length_b 3.7545
_cell_length_c 5.3101
_cell_angle_alpha 90.00
_cell_angle_beta 90.00
_cell_angle_gamma 90.00
loop_
_atom_site_label
_atom_site_type_symbol
_atom_site_fract_x
_atom_site_fract_y
_atom_site_fract_z
Mn1 Mn 0.0000 0.0000 0.0000
Mn2 Mn 0.5000 0.5000 0.2575
Ir1 Ir 0.5000 0.5000 0.7657
Rh1 Rh 0.0000 0.0000 0.4989
# Energy of formation from the pure elements ... -0.12 eV/atom
# Crystal system ... orthorhombic



[18]
# DyErCl3 | the Alexandria database | GGA-PBE | relaxed
data_DyErCl3
_symmetry_space_group_name_H-M 'C 1 2/m 1'
_symmetry_Int_Tables_number 12
_symmetry_space_group_name_Hall '-C 2y'
_cell_length_a 16.3482
_cell_length_b 3.7962
_cell_length_c 10.5232
_cell_angle_alpha 90.00
_cell_angle_beta 121.59
_cell_angle_gamma 90.00
loop_
_atom_site_label
_atom_site_type_symbol
_atom_site_fract_x
_atom_site_fract_y
_atom_site_fract_z
Dy1 Dy 0.1382 0.0000 0.2891
Er1 Er 0.0798 0.5000 0.9542
Cl1 Cl 0.0388 0.0000 0.7429
Cl2 Cl 0.1642 0.5000 0.5074
Cl3 Cl 0.2179 0.0000 0.1167
# Formation energy from raw total energies ... -1.8240 eV per atom
# Crystal system ... monoclinic



[19]
# Rb3Cr2InBr9 | the Alexandria database | GGA-PBE | relaxed
data_Rb3Cr2InBr9
_symmetry_space_group_name_H-M 'P -3 m 1'
_symmetry_Int_Tables_number 164
_symmetry_space_group_name_Hall '-P 3 2"'
_cell_length_a 7.6875
_cell_length_b 7.6875
_cell_length_c 9.7624
_cell_angle_alpha 90.00
_cell_angle_beta 90.00
_cell_angle_gamma 120.00
loop_
_atom_site_label
_atom_site_type_symbol
_atom_site_fract_x
_atom_site_fract_y
_atom_site_fract_z
Rb1 Rb 0.0000 0.0000 0.0000
Rb2 Rb 0.3333 0.6667 0.6858
Cr1 Cr 0.3333 0.6667 0.1555
In1 In 0.0000 0.0000 0.5000
Br1 Br 0.0000 0.5000 0.0000
Br2 Br 0.1764 0.3529 0.3051
# Formation energy from raw total energies ... -1.1099 eV per atom
# Crystal system ... trigonal



[20]
# TaMnIn2 | the Alexandria database | GGA-PBE | relaxed
data_TaMnIn2
_symmetry_space_group_name_H-M 'R 3 m'
_symmetry_Int_Tables_number 160
_symmetry_space_group_name_Hall 'R 3 -2"'
_cell_length_a 3.1564
_cell_length_b 3.1564
_cell_length_c 27.4540
_cell_angle_alpha 90.00
_cell_angle_beta 90.00
_cell_angle_gamma 120.00
loop_
_atom_site_label
_atom_site_type_symbol
_atom_site_fract_x
_atom_site_fract_y
_atom_site_fract_z
Ta1 Ta 0.0000 0.0000 0.0000
Mn1 Mn 0.0000 0.0000 0.7254
In1 In 0.0000 0.0000 0.2390
In2 In 0.0000 0.0000 0.4733
# Energy of formation from the pure elements ... 0.26 eV/atom
# Excess energy over the best structure of this formula in the dataset ... 70 meV per atom
# Crystal system ... trigonal



Calculated total moment, 0.08 0.00 0.00 0.00 0.00 0.00 4.80 43.79 0.00 7.18 0.27 0.00 9.74 0.00 26.53 2.95 0.37 0.00 7.00 0.47 Bohr magnetons per cell (same order as the records).